Below is Y5Ho after structural relaxation, with properties calculated at the PBE-GGA level.

The calculated volume is 32.4 Å³ per atom. The value obtained for the energy above the lowest structure with this stoichiometry is 0.087 eV/atom. The value obtained for the calculated density is 5.2 Mg/m³. For the total magnetization, the calculation gives 0.00 μB per formula unit. The formation energy comes out at 0.66 eV/f.u. Its calculated total energy is -6.039 eV per atom.

The structure belongs to space group Cmmm (No. 65); the cell edges are 5.797, 17.880 and 3.754 Å and the angles 90.00°, 90.00° and 90.00°. The distinct sites, in fractional coordinates, are Y at (0.000, 0.000, 0.000), Y at (0.000, 0.179, 0.500), Y at (0.000, 0.347, 0.000) and Ho at (0.000, 0.500, 0.500).